A relaxed structure of CdTc2Rh, computed with GGA-PBE.

Lattice parameters (Å, degrees): 3.975 3.975 7.869 90.00 90.00 90.00
Space group I-4m2 (No. 119)
Asymmetric unit:
Cd 0.000 0.000 0.000
Tc 0.000 0.000 0.500
Tc 0.000 0.500 0.250
Rh 0.000 0.500 0.750

## Properties
magnetization = 0.5 Bohr magnetons per cell
formation enthalpy at 0 K = 0.315 eV/atom

A relaxed structure of CdTc2Rh, computed with GGA-PBE.

Lattice parameters (Å, degrees): 9.208 2.805 4.993 90.00 101.29 90.00
Space group Cm (No. 8)
Asymmetric unit:
Cd 0.000 0.000 0.000
Tc 0.004 0.500 0.493
Tc 0.265 0.500 0.315
Rh 0.240 0.000 0.757

## Properties
magnetization = 0.0 Bohr magnetons per cell
formation enthalpy at 0 K = 0.241 eV/atom

A relaxed structure of Cd2Tc2Rh, computed with GGA-PBE.

Lattice parameters (Å, degrees): 7.809 7.809 2.996 90.00 90.00 90.00
Space group P4/mbm (No. 127)
Asymmetric unit:
Cd 0.192 0.308 0.000
Tc 0.101 0.601 0.500
Rh 0.000 0.000 0.000

## Properties
magnetization = 0.0 Bohr magnetons per cell
energy above the lowest structure with this stoichiometry = 1.06 eV per formula unit
formation enthalpy at 0 K = 0.741 eV/atom

A relaxed structure of Cd2TcRh, computed with GGA-PBE.

Lattice parameters (Å, degrees): 7.547 7.547 5.309 90.00 90.00 90.00
Space group I-42d (No. 122)
Asymmetric unit:
Cd 0.241 0.250 0.125
Tc 0.000 0.000 0.500
Rh 0.000 0.000 0.000

## Properties
magnetization = 6.6 Bohr magnetons per cell
energy above the lowest structure with this stoichiometry = 2.88 eV per formula unit
formation enthalpy at 0 K = 0.748 eV/atom

A relaxed structure of CdTc2Rh, computed with GGA-PBE.

Lattice parameters (Å, degrees): 2.769 4.188 5.501 90.00 90.08 90.00
Space group P2/m (No. 10)
Asymmetric unit:
Cd 0.000 0.000 0.000
Tc 0.500 0.500 0.287
Rh 0.000 0.000 0.500

## Properties
magnetization = 0.0 Bohr magnetons per cell
formation enthalpy at 0 K = 0.253 eV/atom

A relaxed structure of Cd2TcRh, computed with GGA-PBE.

Lattice parameters (Å, degrees): 9.544 2.844 5.078 90.00 99.84 90.00
Space group C2/m (No. 12)
Asymmetric unit:
Cd 0.247 0.000 0.247
Tc 0.000 0.000 0.500
Rh 0.000 0.500 0.000

## Properties
magnetization = 1.6 Bohr magnetons per cell
energy above the lowest structure with this stoichiometry = 1.09 eV per formula unit
formation enthalpy at 0 K = 0.300 eV/atom

A relaxed structure of CdTc2Rh2, computed with GGA-PBE.

Lattice parameters (Å, degrees): 7.661 7.661 2.725 90.00 90.00 90.00
Space group P4/mbm (No. 127)
Asymmetric unit:
Cd 0.000 0.000 0.000
Tc 0.172 0.328 0.500
Rh 0.122 0.622 0.000

## Properties
magnetization = 0.0 Bohr magnetons per cell
energy above the lowest structure with this stoichiometry = 0.14 eV per formula unit
formation enthalpy at 0 K = 0.168 eV/atom

A relaxed structure of Cd2TcRh2, computed with GGA-PBE.

Lattice parameters (Å, degrees): 6.469 6.469 4.290 90.00 90.00 90.00
Space group P4/mbm (No. 127)
Asymmetric unit:
Cd 0.168 0.332 0.000
Tc 0.000 0.000 0.500
Rh 0.141 0.641 0.500

## Properties
magnetization = 1.0 Bohr magnetons per cell
formation enthalpy at 0 K = 0.275 eV/atom

A relaxed structure of Cd2TcRh, computed with GGA-PBE.

Lattice parameters (Å, degrees): 4.054 4.054 4.237 90.00 90.00 90.00
Space group P4/mmm (No. 123)
Asymmetric unit:
Cd 0.000 0.500 0.000
Tc 0.000 0.000 0.500
Rh 0.500 0.500 0.500

## Properties
magnetization = 2.7 Bohr magnetons per cell
energy above the lowest structure with this stoichiometry = 1.35 eV per formula unit
formation enthalpy at 0 K = 0.365 eV/atom

A relaxed structure of Cd2TcRh, computed with GGA-PBE.

Lattice parameters (Å, degrees): 2.843 2.843 8.437 90.00 90.00 90.00
Space group P4/mmm (No. 123)
Asymmetric unit:
Cd 0.000 0.000 0.240
Tc 0.500 0.500 0.500
Rh 0.500 0.500 0.000

## Properties
magnetization = 0.8 Bohr magnetons per cell
energy above the lowest structure with this stoichiometry = 1.17 eV per formula unit
formation enthalpy at 0 K = 0.320 eV/atom

A relaxed structure of Cd2TcRh, computed with GGA-PBE.

Lattice parameters (Å, degrees): 6.522 6.522 6.522 90.00 90.00 90.00
Space group Fm-3m (No. 225)
Asymmetric unit:
Cd 0.250 0.250 0.250
Tc 0.000 0.000 0.000
Rh 0.000 0.000 0.500

## Properties
magnetization = 10.3 Bohr magnetons per cell
energy above the lowest structure with this stoichiometry = 1.34 eV per formula unit
formation enthalpy at 0 K = 0.364 eV/atom

A relaxed structure of CdTc2Rh, computed with GGA-PBE.

Lattice parameters (Å, degrees): 3.772 3.772 4.396 90.00 90.00 90.00
Space group P4/mmm (No. 123)
Asymmetric unit:
Cd 0.000 0.000 0.000
Tc 0.000 0.500 0.500
Rh 0.500 0.500 0.000

## Properties
magnetization = 0.0 Bohr magnetons per cell
formation enthalpy at 0 K = 0.342 eV/atom